## A
DFT (GGA-PBE) results for a relaxed structure of ZrCuTcAs.

Calculated values
Magnetization ... 0.5 μB/cell

Structure (CIF):
```
data_ZrCuTcAs
_cell_length_a 4.523
_cell_length_b 4.523
_cell_length_c 4.523
_cell_angle_alpha 60.00
_cell_angle_beta 60.00
_cell_angle_gamma 60.00
_space_group_name_H-M_alt 'P 1'
_space_group_IT_number 1
loop_
_space_group_symop_operation_xyz
'x,y,z'
loop_
_atom_site_label
_atom_site_fract_x
_atom_site_fract_y
_atom_site_fract_z
Zr1 0.000 0.000 0.000
Cu1 0.500 0.500 0.500
Tc1 0.750 0.750 0.750
As1 0.250 0.250 0.250
```

***

## B
DFT (GGA-PBE) results for a relaxed structure of ZrCuTcAs.

Calculated values
Magnetization ... 0.0 μB/cell

Structure (CIF):
```
data_ZrCuTcAs
_cell_length_a 4.476
_cell_length_b 4.476
_cell_length_c 4.476
_cell_angle_alpha 60.00
_cell_angle_beta 60.00
_cell_angle_gamma 60.00
_space_group_name_H-M_alt 'P 1'
_space_group_IT_number 1
loop_
_space_group_symop_operation_xyz
'x,y,z'
loop_
_atom_site_label
_atom_site_fract_x
_atom_site_fract_y
_atom_site_fract_z
Zr1 0.000 0.000 0.000
Cu1 0.750 0.750 0.750
Tc1 0.250 0.250 0.250
As1 0.500 0.500 0.500
```

***

B ends up most stable, edging out the next structure by 176 meV/atom.

***

## A
DFT (GGA-PBE) results for a relaxed structure of CuTeAsW.

Calculated values
Magnetization ... 0.2 μB/cell

Structure (CIF):
```
data_CuTeAsW
_cell_length_a 4.667
_cell_length_b 4.667
_cell_length_c 4.667
_cell_angle_alpha 60.00
_cell_angle_beta 60.00
_cell_angle_gamma 60.00
_space_group_name_H-M_alt 'P 1'
_space_group_IT_number 1
loop_
_space_group_symop_operation_xyz
'x,y,z'
loop_
_atom_site_label
_atom_site_fract_x
_atom_site_fract_y
_atom_site_fract_z
Cu1 0.000 0.000 0.000
Te1 0.500 0.500 0.500
As1 0.250 0.250 0.250
W1 0.750 0.750 0.750
```

***

## B
DFT (GGA-PBE) results for a relaxed structure of CuTeAsW.

Calculated values
Magnetization ... 0.8 μB/cell

Structure (CIF):
```
data_CuTeAsW
_cell_length_a 4.626
_cell_length_b 4.626
_cell_length_c 4.626
_cell_angle_alpha 60.00
_cell_angle_beta 60.00
_cell_angle_gamma 60.00
_space_group_name_H-M_alt 'P 1'
_space_group_IT_number 1
loop_
_space_group_symop_operation_xyz
'x,y,z'
loop_
_atom_site_label
_atom_site_fract_x
_atom_site_fract_y
_atom_site_fract_z
Cu1 0.000 0.000 0.000
Te1 0.250 0.250 0.250
As1 0.750 0.750 0.750
W1 0.500 0.500 0.500
```

***

B ends up most stable, edging out the next structure by 357 meV/atom.

***

## A
DFT (GGA-PBE) results for a relaxed structure of YZnCuAs.

Calculated values
Magnetization ... 0.0 μB/cell

Structure (CIF):
```
data_YZnCuAs
_cell_length_a 4.722
_cell_length_b 4.722
_cell_length_c 4.722
_cell_angle_alpha 60.00
_cell_angle_beta 60.00
_cell_angle_gamma 60.00
_space_group_name_H-M_alt 'P 1'
_space_group_IT_number 1
loop_
_space_group_symop_operation_xyz
'x,y,z'
loop_
_atom_site_label
_atom_site_fract_x
_atom_site_fract_y
_atom_site_fract_z
Y1 0.000 0.000 0.000
Zn1 0.750 0.750 0.750
Cu1 0.250 0.250 0.250
As1 0.500 0.500 0.500
```

***

## B
DFT (GGA-PBE) results for a relaxed structure of YZnCuAs.

Calculated values
Magnetization ... 0.0 μB/cell

Structure (CIF):
```
data_YZnCuAs
_cell_length_a 4.732
_cell_length_b 4.732
_cell_length_c 4.732
_cell_angle_alpha 60.00
_cell_angle_beta 60.00
_cell_angle_gamma 60.00
_space_group_name_H-M_alt 'P 1'
_space_group_IT_number 1
loop_
_space_group_symop_operation_xyz
'x,y,z'
loop_
_atom_site_label
_atom_site_fract_x
_atom_site_fract_y
_atom_site_fract_z
Y1 0.000 0.000 0.000
Zn1 0.750 0.750 0.750
Cu1 0.500 0.500 0.500
As1 0.250 0.250 0.250
```

***

B ends up most stable, edging out the next structure by 75 meV/atom.

***

## A
DFT (GGA-PBE) results for a relaxed structure of DyErAsO.

Calculated values
Magnetization ... 0.0 μB/cell

Structure (CIF):
```
data_DyErAsO
_cell_length_a 4.312
_cell_length_b 4.312
_cell_length_c 8.742
_cell_angle_alpha 90.00
_cell_angle_beta 90.00
_cell_angle_gamma 90.00
_space_group_name_H-M_alt 'P 1'
_space_group_IT_number 1
loop_
_space_group_symop_operation_xyz
'x,y,z'
loop_
_atom_site_label
_atom_site_fract_x
_atom_site_fract_y
_atom_site_fract_z
Dy1 0.250 0.250 0.102
Dy2 0.750 0.750 0.898
Er1 0.250 0.750 0.500
Er2 0.750 0.250 0.500
As1 0.250 0.250 0.704
As2 0.750 0.750 0.296
O1 0.250 0.750 0.000
O2 0.750 0.250 0.000
```

***

## B
DFT (GGA-PBE) results for a relaxed structure of DyErAsO.

Calculated values
Magnetization ... 0.0 μB/cell

Structure (CIF):
```
data_DyErAsO
_cell_length_a 4.146
_cell_length_b 7.514
_cell_length_c 5.911
_cell_angle_alpha 90.00
_cell_angle_beta 90.00
_cell_angle_gamma 90.00
_space_group_name_H-M_alt 'P 1'
_space_group_IT_number 1
loop_
_space_group_symop_operation_xyz
'x,y,z'
loop_
_atom_site_label
_atom_site_fract_x
_atom_site_fract_y
_atom_site_fract_z
Dy1 0.000 0.210 0.000
Dy2 0.000 0.790 0.500
Er1 0.500 0.390 0.577
Er2 0.500 0.610 0.077
As1 0.000 0.164 0.489
As2 0.000 0.836 0.989
O1 0.500 0.330 0.941
O2 0.500 0.670 0.441
```

***

## C
DFT (GGA-PBE) results for a relaxed structure of DyErAsO.

Calculated values
Magnetization ... 0.0 μB/cell

Structure (CIF):
```
data_DyErAsO
_cell_length_a 4.307
_cell_length_b 4.307
_cell_length_c 8.727
_cell_angle_alpha 90.00
_cell_angle_beta 90.00
_cell_angle_gamma 90.00
_space_group_name_H-M_alt 'P 1'
_space_group_IT_number 1
loop_
_space_group_symop_operation_xyz
'x,y,z'
loop_
_atom_site_label
_atom_site_fract_x
_atom_site_fract_y
_atom_site_fract_z
Dy1 0.250 0.750 0.000
Dy2 0.750 0.250 0.000
Er1 0.250 0.250 0.403
Er2 0.750 0.750 0.597
As1 0.250 0.250 0.791
As2 0.750 0.750 0.209
O1 0.250 0.750 0.500
O2 0.750 0.250 0.500
```

***

B ends up most stable, edging out the next structure by 74 meV/atom.

***

## A
DFT (GGA-PBE) results for a relaxed structure of DyErAsO.

Calculated values
Magnetization ... 0.0 μB/cell

Structure (CIF):
```
data_DyErAsO
_cell_length_a 4.113
_cell_length_b 7.635
_cell_length_c 5.809
_cell_angle_alpha 90.00
_cell_angle_beta 90.00
_cell_angle_gamma 90.00
_space_group_name_H-M_alt 'P 1'
_space_group_IT_number 1
loop_
_space_group_symop_operation_xyz
'x,y,z'
loop_
_atom_site_label
_atom_site_fract_x
_atom_site_fract_y
_atom_site_fract_z
Dy1 0.000 0.115 0.000
Dy2 0.000 0.885 0.500
Er1 0.500 0.288 0.433
Er2 0.500 0.712 0.933
As1 0.500 0.346 0.923
As2 0.500 0.654 0.423
O1 0.000 0.173 0.378
O2 0.000 0.827 0.878
```

***

## B
DFT (GGA-PBE) results for a relaxed structure of DyErAsO.

Calculated values
Magnetization ... 0.0 μB/cell

Structure (CIF):
```
data_DyErAsO
_cell_length_a 4.322
_cell_length_b 4.322
_cell_length_c 8.693
_cell_angle_alpha 90.00
_cell_angle_beta 90.00
_cell_angle_gamma 90.00
_space_group_name_H-M_alt 'P 1'
_space_group_IT_number 1
loop_
_space_group_symop_operation_xyz
'x,y,z'
loop_
_atom_site_label
_atom_site_fract_x
_atom_site_fract_y
_atom_site_fract_z
Dy1 0.250 0.250 0.102
Dy2 0.750 0.750 0.898
Er1 0.250 0.750 0.500
Er2 0.750 0.250 0.500
As1 0.250 0.250 0.704
As2 0.750 0.750 0.296
O1 0.250 0.750 0.000
O2 0.750 0.250 0.000
```

***

A ends up most stable, edging out the next structure by 59 meV/atom.